## AcTm2Fe (PBE)

Data for a relaxed structure of AcTm2Fe.

```
AcTm2Fe
1.0
3.423 0.000 0.000
0.000 3.423 0.000
0.000 0.000 9.227
Tm Fe Ac
2 1 1
direct
0.000 0.000 0.169 Tm
0.000 0.000 0.831 Tm
0.500 0.500 0.000 Fe
0.500 0.500 0.500 Ac
```

Output
SG = P4/mmm
Total energy = -5.278 eV/atom
ΔE to the lowest computed polymorph = 0.0 meV per atom
N(E_F) = 3.5 states/eV per cell
Energy relative to the elements = 0.1006 eV per atom